PBE with a Hubbard U CaWO2, optimized geometry; space group = No. 141; mass density = 7.301 g/cm³; Fermi-level density of states = 0.050 states/eV/atom; total DFT energy (no corrections) = -105.3 eV for the cell shown; excess energy over the best structure of this formula in the dataset = 0.130 eV/atom
1.0
-3.1347 3.1347 5.9232
3.1347 -3.1347 5.9232
3.1347 3.1347 -5.9232
O W Ca
8 4 4
Cartesian
0.0000 1.7282 5.0430 O
1.4065 3.1347 0.8803 O
1.7281 0.0000 6.8035 O
3.1347 1.7281 3.8419 O
1.4065 0.0000 2.0813 O
3.1347 -1.7282 3.8419 O
3.1347 1.4065 -0.8803 O
4.8628 0.0000 2.0814 O
0.0000 1.5673 1.4808 W
0.0000 4.7020 1.4808 W
-1.5673 3.1347 4.4424 W
1.5673 3.1347 4.4424 W
3.1347 1.5673 1.4808 Ca
1.5673 0.0000 4.4424 Ca
0.0000 1.5673 7.4040 Ca
1.5673 3.1347 -1.4808 Ca